An optimized crystal structure of ScTlSn2Cl8, computed with PBE-GGA.

Formation energy (no corrections), eV/atom: -1.36
Total DFT energy (no corrections), eV for the cell shown: -47.752

Cell and atoms, written as CIF:
```
data_ScTlSn2Cl8
_chemical_formula_sum 'Sc1 Tl1 Sn2 Cl8'
_cell_length_a 6.315
_cell_length_b 6.900
_cell_length_c 8.820
_cell_angle_alpha 95.15
_cell_angle_beta 90.84
_cell_angle_gamma 92.87
_space_group_name_H-M_alt 'P -1'
_space_group_IT_number 2
loop_
_space_group_symop_operation_xyz
'x,y,z'
'-x,-y,-z'
loop_
_atom_site_label
_atom_site_fract_x
_atom_site_fract_y
_atom_site_fract_z
Sc1 0.000 0.000 0.000
Tl1 0.000 0.000 0.500
Sn1 0.492 0.532 0.757
Cl1 0.212 0.171 0.813
Cl2 0.216 0.700 0.957
Cl3 0.260 0.125 0.215
Cl4 0.275 0.630 0.532
```